[1]
K2PaAs2 | PBE | relaxed

Lattice parameters (Å, degrees): 4.3026 4.3017 12.0626 80.87 79.73 59.99
Sites, in units of the cell vectors:
K 0.5515 0.0849 0.8121
K 0.4485 0.9151 0.1879
As 0.2879 0.8011 0.6230
As 0.7121 0.1989 0.3770
Pa 0.0000 0.5000 0.5000

Summary:
Energy of formation from the pure elements in kJ per mole of atoms: -63
Final energy in eV per atom: -4.85
Symmetry: No. 12



[2]
KPaAs3 | PBE | relaxed

Lattice parameters (Å, degrees): 5.5306 5.5306 5.5306 90.00 90.00 90.00
Sites, in units of the cell vectors:
As 0.0000 0.5000 0.0000
As 0.0000 0.0000 0.5000
As 0.5000 0.0000 0.0000
Pa 0.0000 0.0000 0.0000
K 0.5000 0.5000 0.5000

Summary:
Energy of formation from the pure elements in kJ per mole of atoms: -24
Final energy in eV per atom: -5.16
Symmetry: No. 221



[3]
KPa2AsS8 | PBE | relaxed

Lattice parameters (Å, degrees): 6.1293 6.0892 8.4031 90.00 90.00 84.80
Sites, in units of the cell vectors:
Pa 0.5000 0.5000 0.7503
Pa 0.5000 0.5000 0.2497
S 0.8619 0.2562 0.7955
S 0.1381 0.7438 0.2045
S 0.3789 0.2810 0.5000
S 0.6211 0.7190 0.5000
S 0.1382 0.7438 0.7955
S 0.6235 0.7575 0.0000
S 0.8618 0.2562 0.2045
S 0.3765 0.2425 0.0000
K 0.0000 0.0000 0.5000
As 0.0000 0.0000 0.0000

Summary:
Final energy in eV per atom: -5.66
Uncorrected formation energy in meV/atom: -843.5
Symmetry: No. 10



[4]
KPaAsS5 | PBE | relaxed

Lattice parameters (Å, degrees): 7.3425 7.3425 9.8116 105.63 105.63 104.65
Sites, in units of the cell vectors:
K 0.3409 0.6591 0.2500
K 0.6591 0.3409 0.7500
S 0.2435 0.3801 0.5723
S 0.6199 0.7565 0.9277
S 0.7565 0.6199 0.4277
S 0.8999 0.3214 0.1096
S 0.3214 0.8999 0.6096
S 0.1001 0.6786 0.8904
S 0.6786 0.1001 0.3904
S 0.9281 0.0719 0.7500
S 0.3801 0.2435 0.0723
S 0.0719 0.9281 0.2500
As 0.3101 0.6899 0.7500
As 0.6899 0.3101 0.2500
Pa 0.0000 0.0000 0.5000
Pa 0.0000 0.0000 0.0000

Summary:
Final energy in eV per atom: -5.37
Uncorrected formation energy in meV/atom: -885.7
Symmetry: No. 15



[5]
K3PaAs2S8 | PBE | relaxed

Lattice parameters (Å, degrees): 7.3829 7.3829 9.0015 90.00 90.00 120.00
Sites, in units of the cell vectors:
S 0.1581 0.8419 0.3138
S 0.8419 0.1581 0.6862
S 0.3333 0.6667 0.9965
S 0.1581 0.3161 0.3138
S 0.8419 0.6839 0.6862
S 0.6839 0.8419 0.3138
S 0.3161 0.1581 0.6862
S 0.6667 0.3333 0.0035
As 0.3333 0.6667 0.2298
As 0.6667 0.3333 0.7702
K 0.0000 0.0000 0.0000
K 0.3333 0.6667 0.6456
K 0.6667 0.3333 0.3544
Pa 0.0000 0.0000 0.5000

Summary:
Final energy in eV per atom: -4.68
Uncorrected formation energy in meV/atom: -748.2
Symmetry: No. 164



[6]
K3Pa2TiAs6 | PBE | relaxed

Lattice parameters (Å, degrees): 7.1605 7.1605 8.0612 98.54 98.54 120.03
Sites, in units of the cell vectors:
As 0.2528 0.2528 0.8126
As 0.7472 0.7472 0.1874
As 0.9380 0.6223 0.8135
As 0.0620 0.3777 0.1865
As 0.3777 0.0620 0.1865
As 0.6223 0.9380 0.8135
Pa 0.6664 0.3336 0.0000
Pa 0.3336 0.6664 0.0000
K 0.1691 0.8309 0.5000
K 0.5000 0.5000 0.5000
K 0.8309 0.1691 0.5000
Ti 0.0000 0.0000 0.0000

Summary:
Energy of formation from the pure elements in kJ per mole of atoms: -65
Final energy in eV per atom: -5.52
Symmetry: No. 12



Which of these has the lowest final energy? KPa2AsS8



Among the records above, which one has the lowest final energy? KPa2AsS8



Look up the final energy of the third one. -5.66 eV per atom